# Ba2LiScTa, relaxed, DFT PBEsol
data_Ba2LiScTa
_space_group_name_H-M_alt 'P 4/m m m'
_space_group_IT_number 123
_space_group_name_Hall '-P 4 2'
_cell_length_a 6.316
_cell_length_b 6.316
_cell_length_c 4.822
_cell_angle_alpha 90.00
_cell_angle_beta 90.00
_cell_angle_gamma 90.00
loop_
_atom_site_label
_atom_site_fract_x
_atom_site_fract_y
_atom_site_fract_z
Ba1 0.000 0.500 0.000
Li1 0.000 0.000 0.500
Sc1 0.500 0.500 0.000
Ta1 0.500 0.500 0.500
# DFT total energy: -4.0255 eV per atom
# DFT formation energy: 1.0587 eV per atom